# 1
VASP calculation (PBE) on CoS after structural relaxation.

Calculated values
The calculation puts the total energy at -5.89 eV/atom.

abc: 5.116 3.340 5.797
angles: 90.00 90.00 90.00
Fractional coordinates of all 8 atoms:
Co 0.001 0.250 0.248
Co 0.499 0.750 0.748
Co 0.501 0.250 0.252
Co 0.999 0.750 0.752
S 0.249 0.250 0.583
S 0.251 0.750 0.083
S 0.749 0.250 0.917
S 0.751 0.750 0.417

***

# 2
VASP calculation (PBE) on Co2S after structural relaxation.

Calculated values
The calculation puts the total energy at -6.04 eV/atom.

abc: 4.780 4.780 3.391
angles: 90.00 90.00 90.00
Fractional coordinates of all 6 atoms:
Co 0.191 0.191 0.000
Co 0.309 0.691 0.500
Co 0.691 0.309 0.500
Co 0.809 0.809 0.000
S 0.000 0.000 0.500
S 0.500 0.500 0.000

***

# 3
VASP calculation (PBE) on CoS3 after structural relaxation.

Calculated values
The calculation puts the total energy at -3.81 eV/atom.

abc: 3.909 3.909 3.909
angles: 90.00 90.00 90.00
Fractional coordinates of all 4 atoms:
Co 0.000 0.000 0.000
S 0.000 0.500 0.500
S 0.500 0.000 0.500
S 0.500 0.500 0.000

***

# 4
VASP calculation (PBE) on Co9S8 after structural relaxation.

Calculated values
The calculation puts the total energy at -6.19 eV/atom.

abc: 6.919 6.919 6.919
angles: 60.00 60.00 60.00
Fractional coordinates of all 17 atoms:
Co 0.000 0.000 0.000
Co 0.120 0.627 0.627
Co 0.373 0.373 0.373
Co 0.373 0.373 0.880
Co 0.373 0.880 0.373
Co 0.627 0.120 0.627
Co 0.627 0.627 0.120
Co 0.627 0.627 0.627
Co 0.880 0.373 0.373
S 0.238 0.238 0.762
S 0.238 0.762 0.238
S 0.238 0.762 0.762
S 0.250 0.250 0.250
S 0.750 0.750 0.750
S 0.762 0.238 0.238
S 0.762 0.238 0.762
S 0.762 0.762 0.238

***

# 5
VASP calculation (PBE) on CoS after structural relaxation.

Calculated values
The calculation puts the total energy at -5.31 eV/atom.

abc: 3.664 3.664 5.199
angles: 90.00 90.00 102.60
Fractional coordinates of all 4 atoms:
Co 0.000 0.000 0.000
Co 0.500 0.500 0.000
S 0.250 0.750 0.697
S 0.750 0.250 0.303

***

# 6
VASP calculation (PBE) on Co3S after structural relaxation.

Calculated values
The calculation puts the total energy at -6.08 eV/atom.

abc: 3.546 3.546 3.546
angles: 90.00 90.00 90.00
Fractional coordinates of all 4 atoms:
Co 0.000 0.000 0.500
Co 0.000 0.500 0.000
Co 0.500 0.000 0.000
S 0.500 0.500 0.500

***

| no. | density (g cm⁻³) | total magnetic moment (μB per formula unit) |
| --- | --- | --- |
| 1 | 6.1 | 0.00 |
| 2 | 6.4 | 0.00 |
| 3 | 4.3 | 2.02 |
| 4 | 5.6 | 0.01 |
| 5 | 4.4 | 1.77 |
| 6 | 7.8 | 0.03 |